# TlFeAg2 | Alexandria | PBE-GGA | optimized geometry
# E: -3.73 eV per atom
data_TlFeAg2
_cell_length_a 2.974
_cell_length_b 4.772
_cell_length_c 5.274
_cell_angle_alpha 90.00
_cell_angle_beta 96.96
_cell_angle_gamma 90.00
_space_group_name_H-M_alt 'P 1 2/m 1'
_space_group_IT_number 10
loop_
_space_group_symop_operation_xyz
'x,y,z'
'-x,-y,-z'
'-x,y,-z'
'x,-y,z'
loop_
_atom_site_label
_atom_site_fract_x
_atom_site_fract_y
_atom_site_fract_z
Tl1 0.000 0.000 0.000
Fe1 0.500 0.000 0.500
Ag1 0.277 0.500 0.730

---

# LiPm3Cu2 | Alexandria | PBE-GGA | optimized geometry
# E: -4.13 eV per atom
data_LiPm3Cu2
_cell_length_a 3.614
_cell_length_b 3.614
_cell_length_c 11.067
_cell_angle_alpha 90.00
_cell_angle_beta 90.00
_cell_angle_gamma 90.00
_space_group_name_H-M_alt 'P 4/m m m'
_space_group_IT_number 123
_space_group_name_Hall '-P 4 2'
loop_
_atom_site_label
_atom_site_fract_x
_atom_site_fract_y
_atom_site_fract_z
Li1 0.000 0.000 0.000
Pm1 0.500 0.500 0.186
Pm2 0.500 0.500 0.500
Cu1 0.000 0.000 0.335

---

# Tl2Ga2Cu | Alexandria | PBE-GGA | optimized geometry
# E: -2.66 eV per atom
data_Tl2Ga2Cu
_cell_length_a 7.272
_cell_length_b 7.272
_cell_length_c 4.566
_cell_angle_alpha 90.00
_cell_angle_beta 90.00
_cell_angle_gamma 90.00
_space_group_name_H-M_alt 'P 4/m b m'
_space_group_IT_number 127
_space_group_name_Hall '-P 4 2ab'
loop_
_atom_site_label
_atom_site_fract_x
_atom_site_fract_y
_atom_site_fract_z
Tl1 0.170 0.330 0.000
Ga1 0.139 0.639 0.500
Cu1 0.000 0.000 0.000

---

# CaNbB2 | Alexandria | PBE-GGA | optimized geometry
# E: -5.60 eV per atom
data_CaNbB2
_cell_length_a 6.044
_cell_length_b 6.044
_cell_length_c 6.044
_cell_angle_alpha 90.00
_cell_angle_beta 90.00
_cell_angle_gamma 90.00
_space_group_name_H-M_alt 'F m -3 m'
_space_group_IT_number 225
_space_group_name_Hall '-F 4 2 3'
loop_
_atom_site_label
_atom_site_fract_x
_atom_site_fract_y
_atom_site_fract_z
Ca1 0.000 0.000 0.000
Nb1 0.000 0.000 0.500
B1 0.250 0.250 0.250

---

# AlCu2P | Alexandria | PBE-GGA | optimized geometry
# E: -4.26 eV per atom
data_AlCu2P
_cell_length_a 2.8765
_cell_length_b 2.8765
_cell_length_c 22.8104
_cell_angle_alpha 90.00
_cell_angle_beta 90.00
_cell_angle_gamma 120.00
_space_group_name_H-M_alt 'R 3 m'
_space_group_IT_number 160
_space_group_name_Hall 'R 3 -2"'
loop_
_atom_site_label
_atom_site_fract_x
_atom_site_fract_y
_atom_site_fract_z
Al1 0.0000 0.0000 0.0000
Cu1 0.0000 0.0000 0.5022
Cu2 0.0000 0.0000 0.7491
P1 0.0000 0.0000 0.2451

---

# ZnGa2Co2 | Alexandria | PBE-GGA | optimized geometry
# E: -4.47 eV per atom
data_ZnGa2Co2
_cell_length_a 6.771
_cell_length_b 6.771
_cell_length_c 2.860
_cell_angle_alpha 90.00
_cell_angle_beta 90.00
_cell_angle_gamma 90.00
_space_group_name_H-M_alt 'P 4/m b m'
_space_group_IT_number 127
_space_group_name_Hall '-P 4 2ab'
loop_
_atom_site_label
_atom_site_fract_x
_atom_site_fract_y
_atom_site_fract_z
Zn1 0.000 0.000 0.000
Ga1 0.153 0.347 0.500
Co1 0.145 0.645 0.000

---

# CuIrS2 | Alexandria | PBE-GGA | optimized geometry
# ΔE_f (raw): -0.08 eV/atom
data_CuIrS2
_cell_length_a 3.6054
_cell_length_b 3.6054
_cell_length_c 19.0961
_cell_angle_alpha 90.00
_cell_angle_beta 90.00
_cell_angle_gamma 120.00
_space_group_name_H-M_alt 'R 3 m'
_space_group_IT_number 160
_space_group_name_Hall 'R 3 -2"'
loop_
_atom_site_label
_atom_site_fract_x
_atom_site_fract_y
_atom_site_fract_z
Cu1 0.0000 0.0000 0.0000
Ir1 0.0000 0.0000 0.5032
S1 0.0000 0.0000 0.1204
S2 0.0000 0.0000 0.6254

---

# AcCuAsBr | Alexandria | PBE-GGA | optimized geometry
# ΔE_f (raw): -1.12 eV/atom
data_AcCuAsBr
_cell_length_a 4.3706
_cell_length_b 4.3706
_cell_length_c 42.7046
_cell_angle_alpha 90.00
_cell_angle_beta 90.00
_cell_angle_gamma 120.00
_space_group_name_H-M_alt 'R -3 m'
_space_group_IT_number 166
_space_group_name_Hall '-R 3 2"'
loop_
_atom_site_label
_atom_site_fract_x
_atom_site_fract_y
_atom_site_fract_z
Ac1 0.0000 0.0000 0.0767
Cu1 0.0000 0.0000 0.3098
As1 0.0000 0.0000 0.3693
Br1 0.0000 0.0000 0.2104

---

# CuGe2Cl | Alexandria | PBE-GGA | optimized geometry
# ΔE_f (raw): 0.20 eV/atom
data_CuGe2Cl
_cell_length_a 5.762
_cell_length_b 5.762
_cell_length_c 11.875
_cell_angle_alpha 90.00
_cell_angle_beta 90.00
_cell_angle_gamma 90.00
_space_group_name_H-M_alt 'I -4 2 d'
_space_group_IT_number 122
_space_group_name_Hall 'I -4 2bw'
loop_
_atom_site_label
_atom_site_fract_x
_atom_site_fract_y
_atom_site_fract_z
Cu1 0.000 0.000 0.000
Ge1 0.176 0.250 0.125
Cl1 0.000 0.000 0.500

---

# Li4GaRh3O8 | Alexandria | PBE-GGA | optimized geometry
# ΔE_f (raw): -1.40 eV/atom
data_Li4GaRh3O8
_cell_length_a 6.1117
_cell_length_b 6.1117
_cell_length_c 14.3647
_cell_angle_alpha 90.00
_cell_angle_beta 90.00
_cell_angle_gamma 120.00
_space_group_name_H-M_alt 'R -3 m'
_space_group_IT_number 166
_space_group_name_Hall '-R 3 2"'
loop_
_atom_site_label
_atom_site_fract_x
_atom_site_fract_y
_atom_site_fract_z
Li1 0.0000 0.0000 0.0000
Li2 0.0000 0.5000 0.0000
Ga1 0.0000 0.0000 0.5000
Rh1 0.0000 0.5000 0.5000
O1 0.0000 0.0000 0.2422
O2 0.0082 0.5041 0.2426

---

# CeMg | Alexandria | PBE-GGA | optimized geometry
# E: -3.73 eV per atom
data_CeMg
_cell_length_a 3.1585
_cell_length_b 3.1585
_cell_length_c 11.5105
_cell_angle_alpha 90.00
_cell_angle_beta 90.00
_cell_angle_gamma 120.00
_space_group_name_H-M_alt 'P -3 m 1'
_space_group_IT_number 164
_space_group_name_Hall '-P 3 2"'
loop_
_atom_site_label
_atom_site_fract_x
_atom_site_fract_y
_atom_site_fract_z
Ce1 0.3333 0.6667 0.1310
Mg1 0.3333 0.6667 0.6146

---

# LiMnOsRh2 | Alexandria | PBE-GGA | optimized geometry
# E: -6.43 eV per atom
data_LiMnOsRh2
_cell_length_a 4.724
_cell_length_b 4.724
_cell_length_c 4.786
_cell_angle_alpha 90.00
_cell_angle_beta 90.00
_cell_angle_gamma 90.00
_space_group_name_H-M_alt 'P 4/m m m'
_space_group_IT_number 123
_space_group_name_Hall '-P 4 2'
loop_
_atom_site_label
_atom_site_fract_x
_atom_site_fract_y
_atom_site_fract_z
Li1 0.000 0.000 0.000
Mn1 0.500 0.500 0.000
Os1 0.500 0.500 0.500
Rh1 0.000 0.500 0.500

---

For reference, magnetic moment by record: 2.93, 0.00, 0.00, 0.00, 0.00, 0.00, 0.00, 0.00, 0.00, 0.00, 0.00, 4.05 μB per formula unit.